(1)
Compound: NaAc2Pb9
Source: Alexandria via LeMat-Bulk
Functional: PBE-GGA
Structure: optimized geometry

Fermi-level density of states   4.37 states/eV/cell
Mass density   10.27 g/cm³
Energy relative to the elements   -306 meV/atom

a = 5.017 Å, b = 5.017 Å, c = 15.049 Å
α = 90.00°, β = 90.00°, γ = 90.00°
Positions (direct):
Na  0.000  0.000  0.000
Ac  0.000  0.000  0.333
Ac  0.000  0.000  0.667
Pb  0.500  0.500  0.000
Pb  0.500  0.500  0.327
Pb  0.500  0.500  0.673
Pb  0.500  0.000  0.157
Pb  0.500  0.000  0.500
Pb  0.500  0.000  0.843
Pb  0.000  0.500  0.157
Pb  0.000  0.500  0.500
Pb  0.000  0.500  0.843

=====

(2)
Compound: NaAc2Pb
Source: Alexandria via LeMat-Bulk
Functional: PBE-GGA
Structure: optimized geometry

Fermi-level density of states   4.65 states/eV/cell
Mass density   6.82 g/cm³
Energy relative to the elements   37 meV/atom

a = 3.814 Å, b = 3.814 Å, c = 13.398 Å
α = 81.82°, β = 81.82°, γ = 60.00°
Positions (direct):
Pb  0.500  0.500  0.500
Na  0.000  0.000  0.000
Ac  0.095  0.095  0.715
Ac  0.905  0.905  0.285

=====

(3)
Compound: Na2AcPb
Source: Alexandria via LeMat-Bulk
Functional: PBE-GGA
Structure: optimized geometry

Fermi-level density of states   3.24 states/eV/cell
Mass density   5.67 g/cm³
Energy relative to the elements   -165 meV/atom

a = 5.856 Å, b = 4.899 Å, c = 4.899 Å
α = 90.00°, β = 90.00°, γ = 90.00°
Positions (direct):
Pb  0.500  0.500  0.500
Na  0.000  0.000  0.500
Na  0.000  0.500  0.000
Ac  0.500  0.000  0.000

=====

(4)
Compound: Na3Ac2Pb4
Source: Alexandria via LeMat-Bulk
Functional: PBE-GGA
Structure: optimized geometry

Fermi-level density of states   11.85 states/eV/cell
Mass density   7.70 g/cm³
Energy relative to the elements   -245 meV/atom

a = 6.925 Å, b = 8.859 Å, c = 10.112 Å
α = 90.00°, β = 110.02°, γ = 90.00°
Positions (direct):
Na  0.000  0.000  0.000
Na  0.500  0.500  0.000
Na  0.520  0.750  0.541
Na  0.980  0.250  0.459
Na  0.480  0.250  0.459
Na  0.020  0.750  0.541
Ac  0.100  0.594  0.199
Ac  0.900  0.406  0.801
Ac  0.400  0.094  0.801
Ac  0.600  0.906  0.199
Pb  0.689  0.750  0.879
Pb  0.811  0.250  0.121
Pb  0.311  0.250  0.121
Pb  0.189  0.750  0.879
Pb  0.165  0.972  0.330
Pb  0.835  0.028  0.670
Pb  0.335  0.472  0.670
Pb  0.665  0.528  0.330

=====

(5)
Compound: Na2Ac3Pb3
Source: Alexandria via LeMat-Bulk
Functional: PBE-GGA
Structure: optimized geometry

Fermi-level density of states   6.47 states/eV/cell
Mass density   7.91 g/cm³
Energy relative to the elements   -326 meV/atom

a = 4.257 Å, b = 5.468 Å, c = 12.651 Å
α = 102.48°, β = 99.69°, γ = 90.00°
Positions (direct):
Na  0.749  0.249  0.498
Na  0.251  0.751  0.502
Ac  0.619  0.619  0.238
Ac  0.381  0.381  0.762
Ac  0.500  0.000  0.000
Pb  0.146  0.146  0.292
Pb  0.000  0.500  0.000
Pb  0.854  0.854  0.708

=====

(6)
Compound: NaAc3Pb3
Source: Alexandria via LeMat-Bulk
Functional: PBE-GGA
Structure: optimized geometry

Fermi-level density of states   13.05 states/eV/cell
Mass density   7.19 g/cm³
Energy relative to the elements   -246 meV/atom

a = 6.705 Å, b = 10.266 Å, c = 10.266 Å
α = 120.00°, β = 90.00°, γ = 90.00°
Positions (direct):
Na  0.250  0.667  0.333
Na  0.750  0.333  0.667
Ac  0.750  0.697  0.664
Ac  0.750  0.336  0.033
Ac  0.750  0.967  0.303
Ac  0.250  0.303  0.336
Ac  0.250  0.664  0.967
Ac  0.250  0.033  0.697
Pb  0.250  0.662  0.638
Pb  0.250  0.362  0.024
Pb  0.250  0.976  0.338
Pb  0.750  0.338  0.362
Pb  0.750  0.638  0.976
Pb  0.750  0.024  0.662

=====

| no. | electronic total energy (eV per atom) |
| --- | --- |
| 1 | -3.882 |
| 2 | -3.274 |
| 3 | -2.779 |
| 4 | -3.246 |
| 5 | -3.587 |
| 6 | -3.784 |